# 1
Entry from OQMD: a relaxed Nd2Y2CIBr2Cl2 crystal (PBE).

POSCAR file:
```
Nd2Y2CIBr2Cl2
1.0
8.916 -1.964 0.000
8.916 1.964 0.000
-1.982 0.000 8.610
Nd Y C I Br Cl
2 2 1 1 2 2
Direct
0.000 0.000 0.196 Nd
0.000 0.000 0.804 Nd
0.361 0.361 0.933 Y
0.639 0.639 0.067 Y
0.500 0.500 0.000 C
0.500 0.500 0.500 I
0.174 0.174 0.849 Br
0.826 0.826 0.151 Br
0.164 0.164 0.287 Cl
0.836 0.836 0.713 Cl
```

E = -55.07 eV for the cell shown
Energy relative to the lowest polymorph listed for this composition = 0.02 eV per formula unit

# 2
Entry from OQMD: a relaxed AcPuAl crystal (PBE).

POSCAR file:
```
AcPuAl
1.0
0.000 3.626 3.626
3.626 0.000 3.626
3.626 3.626 0.000
Ac Pu Al
1 1 1
Direct
0.000 0.000 0.000 Ac
0.250 0.250 0.250 Pu
0.750 0.750 0.750 Al
```

E = -20.20 eV for the cell shown
Energy relative to the lowest polymorph listed for this composition = 1.24 eV per formula unit

# 3
Entry from OQMD: a relaxed Dy4Tm3Ni2Te2 crystal (PBE).

POSCAR file:
```
Dy4Tm3Ni2Te2
1.0
-1.919 7.783 4.770
1.919 -7.783 4.770
1.919 7.783 -4.770
Dy Tm Ni Te
4 3 2 2
Direct
0.147 0.000 0.147 Dy
0.465 0.649 0.816 Dy
0.833 0.649 0.184 Dy
0.853 0.000 0.853 Dy
0.218 0.851 0.367 Tm
0.484 0.851 0.633 Tm
0.770 0.270 0.500 Tm
0.081 0.341 0.739 Ni
0.602 0.341 0.261 Ni
0.108 0.608 0.500 Te
0.503 0.503 0.000 Te
```

E = -56.61 eV for the cell shown
Energy relative to the lowest polymorph listed for this composition = 0.08 eV per formula unit

- Which formula does entry 2 have?
  AcPuAl

- energy relative to the lowest polymorph listed for this composition of number 1 (Nd2Y2CIBr2Cl2)?
  0.02 eV per formula unit